An optimized crystal structure of Ba3Al3Ga2, computed with PBE.

abc: 6.573 8.953 16.299
angles: 90.00 90.00 90.00
Atoms (fractional coordinates):
Ba  0.120  0.459  0.391
Ba  0.620  0.041  0.609
Ba  0.880  0.541  0.891
Ba  0.380  0.959  0.109
Ba  0.880  0.541  0.609
Ba  0.380  0.959  0.391
Ba  0.120  0.459  0.109
Ba  0.620  0.041  0.891
Ba  0.589  0.306  0.250
Ba  0.089  0.194  0.750
Ba  0.411  0.694  0.750
Ba  0.911  0.806  0.250
Al  0.067  0.165  0.250
Al  0.567  0.335  0.750
Al  0.933  0.835  0.750
Al  0.433  0.665  0.250
Al  0.619  0.324  0.465
Al  0.119  0.176  0.535
Al  0.381  0.676  0.965
Al  0.881  0.824  0.035
Al  0.381  0.676  0.535
Al  0.881  0.824  0.465
Al  0.619  0.324  0.035
Al  0.119  0.176  0.965
Ga  0.882  0.109  0.403
Ga  0.382  0.391  0.597
Ga  0.118  0.891  0.903
Ga  0.618  0.609  0.097
Ga  0.118  0.891  0.597
Ga  0.618  0.609  0.403
Ga  0.882  0.109  0.097
Ga  0.382  0.391  0.903

Distance to the lowest polymorph of the same formula in eV per atom: 0.090
E_form in eV/atom: -0.256

An optimized crystal structure of Ba4Li2Zn, computed with PBE.

abc: 6.328 6.328 10.341
angles: 72.18 72.18 90.00
Atoms (fractional coordinates):
Zn  0.000  0.000  0.000
Ba  0.818  0.818  0.364
Ba  0.182  0.182  0.636
Ba  0.000  0.500  0.000
Ba  0.500  0.000  0.000
Li  0.616  0.616  0.768
Li  0.384  0.384  0.232

E_form in eV/atom: 0.124

> Which formula does entry 2 have?

Ba4Li2Zn

> E_form of number 1 (Ba3Al3Ga2)?

-0.256 eV/atom

> Which value of E_form does entry 2 give?

0.124 eV/atom

> Which value of E_form does entry 2 give?

0.124 eV/atom